--- a ---
Entry from the Alexandria database: an optimized crystal structure of YMo2Au (PBE-GGA).

Cell and atoms, written as extended XYZ:
```
4
Lattice="-0.768 4.939 -2.241 -4.436 -3.114 0.791 -0.324 1.110 2.557" Properties=species:S:1:pos:R:3 pbc="T T T"
Mo 0.000 0.000 0.000
Y -0.546 3.025 0.158
Au -2.380 -1.002 1.674
Mo -2.602 0.912 -0.725
```

Values from the calculation:
Density of states at the Fermi level: 0.90 states/eV/atom
Symmetry: Cmmm
Magnetic moment: 0.00 μB/f.u.

=====

--- b ---
Entry from the Alexandria database: an optimized crystal structure of YMo2Au (PBE-GGA).

Cell and atoms, written as extended XYZ:
```
4
Lattice="-5.342 -2.015 8.481 -4.637 -4.775 7.761 -2.764 -3.142 9.328" Properties=species:S:1:pos:R:3 pbc="T T T"
Mo -0.080 -0.062 0.160
Au -9.557 -7.449 19.178
Y -3.186 -2.483 6.393
Mo -6.292 -4.904 12.625
```

Values from the calculation:
Density of states at the Fermi level: 1.35 states/eV/atom
Symmetry: R-3m
Magnetic moment: 0.00 μB/f.u.

=====

--- c ---
Entry from the Alexandria database: an optimized crystal structure of YMo2Au (PBE-GGA).

Cell and atoms, written as extended XYZ:
```
4
Lattice="-1.065 0.199 -5.433 -5.290 0.145 -1.637 3.226 2.666 3.629" Properties=species:S:1:pos:R:3 pbc="T T T"
Au -0.508 1.518 -2.669
Mo -3.178 0.172 -3.535
Y -2.621 1.491 -0.771
Mo 0.000 0.000 0.000
```

Values from the calculation:
Density of states at the Fermi level: 1.41 states/eV/atom
Symmetry: I4/mmm
Magnetic moment: 0.00 μB/f.u.

=====

--- d ---
Entry from the Alexandria database: an optimized crystal structure of YMo2Au (PBE-GGA).

Cell and atoms, written as extended XYZ:
```
4
Lattice="5.746 0.027 0.012 -2.213 4.726 -0.019 0.543 0.699 2.757" Properties=species:S:1:pos:R:3 pbc="T T T"
Au 3.144 0.363 1.385
Mo -0.835 2.712 1.369
Y 1.766 2.376 -0.004
Mo 0.000 0.000 0.000
```

Values from the calculation:
Density of states at the Fermi level: 1.14 states/eV/atom
Symmetry: C2/m
Magnetic moment: 0.00 μB/f.u.

=====

Most stable = c

=====

--- a ---
Entry from the Alexandria database: an optimized crystal structure of YMo2Au (PBE-GGA).

Cell and atoms, written as extended XYZ:
```
4
Lattice="2.844 0.021 0.000 -0.020 2.844 0.000 0.000 0.000 9.228" Properties=species:S:1:pos:R:3 pbc="T T T"
Y 1.412 1.432 2.307
Mo 0.000 0.000 4.807
Mo 0.000 0.000 9.035
Au 1.412 1.432 6.921
```

Values from the calculation:
Density of states at the Fermi level: 0.70 states/eV/atom
Symmetry: P4/mmm
Magnetic moment: 0.00 μB/f.u.

=====

--- b ---
Entry from the Alexandria database: an optimized crystal structure of YMo2Au (PBE-GGA).

Cell and atoms, written as extended XYZ:
```
4
Lattice="-3.527 0.565 4.356 -0.841 -1.081 5.464 1.298 3.848 2.570" Properties=species:S:1:pos:R:3 pbc="T T T"
Mo 1.142 3.557 2.517
Mo -1.378 1.958 6.248
Au -2.302 2.500 9.293
Y -0.767 0.833 3.098
```

Values from the calculation:
Density of states at the Fermi level: 1.14 states/eV/atom
Symmetry: C2/m
Magnetic moment: 0.00 μB/f.u.

=====

--- c ---
Entry from the Alexandria database: an optimized crystal structure of YMo2Au (PBE-GGA).

Cell and atoms, written as extended XYZ:
```
4
Lattice="5.166 0.000 0.000 0.000 3.044 -0.016 0.000 0.372 4.983" Properties=species:S:1:pos:R:3 pbc="T T T"
Y 2.583 0.854 1.242
Au 2.583 2.562 3.725
Mo 0.000 2.079 2.419
Mo 0.000 2.673 0.048
```

Values from the calculation:
Density of states at the Fermi level: 0.75 states/eV/atom
Symmetry: P2/m
Magnetic moment: 0.00 μB/f.u.

=====

--- d ---
Entry from the Alexandria database: an optimized crystal structure of YMo2Au (PBE-GGA).

Cell and atoms, written as extended XYZ:
```
4
Lattice="2.097 -1.868 3.781 -1.837 0.671 4.284 -2.023 -3.588 2.283" Properties=species:S:1:pos:R:3 pbc="T T T"
Mo -0.441 -1.196 2.587
Au -0.882 -2.392 5.174
Y 0.000 0.000 0.000
Mo -1.322 -3.588 7.761
```

Values from the calculation:
Density of states at the Fermi level: 1.48 states/eV/atom
Symmetry: Fm-3m
Magnetic moment: 0.00 μB/f.u.

=====

Most stable = b

=====

--- a ---
Entry from the Alexandria database: an optimized crystal structure of YMo2Au (PBE-GGA).

Cell and atoms, written as extended XYZ:
```
8
Lattice="7.997 0.000 0.000 0.000 7.997 0.000 3.999 3.999 2.635" Properties=species:S:1:pos:R:3 pbc="T T T"
Au 7.997 3.999 1.318
Y 3.999 3.999 0.000
Mo 1.700 5.998 0.659
Y 3.999 7.997 1.318
Mo 6.297 1.999 0.659
Au 0.000 0.000 0.000
Mo 5.998 5.699 1.977
Mo 9.996 10.295 1.977
```

Values from the calculation:
Density of states at the Fermi level: 0.88 states/eV/atom
Symmetry: I-42d
Magnetic moment: 0.00 μB/f.u.

=====

--- b ---
Entry from the Alexandria database: an optimized crystal structure of YMo2Au (PBE-GGA).

Cell and atoms, written as extended XYZ:
```
4
Lattice="-1.579 -1.363 2.125 -0.086 -1.595 -2.513 7.472 -4.552 2.634" Properties=species:S:1:pos:R:3 pbc="T T T"
Mo 0.836 -2.496 0.394
Y 3.701 -2.254 1.304
Mo 0.113 -0.069 0.040
Au 4.893 -4.968 1.824
```

Values from the calculation:
Density of states at the Fermi level: 0.67 states/eV/atom
Symmetry: Cmm2
Magnetic moment: 0.00 μB/f.u.

=====

Most stable = b

=====

--- a ---
Entry from the Alexandria database: an optimized crystal structure of YMo2Au (PBE-GGA).

Cell and atoms, written as extended XYZ:
```
4
Lattice="-1.380 -1.494 -1.912 3.872 -0.697 -2.249 0.972 -5.039 3.234" Properties=species:S:1:pos:R:3 pbc="T T T"
Mo 0.933 -4.836 3.104
Au 1.975 -4.875 0.345
Y 1.489 -2.355 -1.272
Mo 0.525 -2.723 1.748
```

Values from the calculation:
Density of states at the Fermi level: 1.17 states/eV/atom
Symmetry: Pmmm
Magnetic moment: 0.00 μB/f.u.

=====

--- b ---
Entry from the Alexandria database: an optimized crystal structure of YMo2Au (PBE-GGA).

Cell and atoms, written as extended XYZ:
```
4
Lattice="5.268 -0.145 0.064 4.001 3.430 0.064 2.117 0.750 4.198" Properties=species:S:1:pos:R:3 pbc="T T T"
Y 5.813 2.060 2.097
Mo 3.022 1.071 0.979
Mo 9.007 3.192 0.279
Au 8.508 3.015 3.263
```

Values from the calculation:
Density of states at the Fermi level: 0.87 states/eV/atom
Symmetry: Imm2
Magnetic moment: 0.00 μB/f.u.

=====

Most stable = b

=====

--- a ---
Entry from the Alexandria database: an optimized crystal structure of YMo2Au (PBE-GGA).

Cell and atoms, written as extended XYZ:
```
4
Lattice="3.285 0.000 0.000 0.000 3.285 0.000 0.000 0.000 7.219" Properties=species:S:1:pos:R:3 pbc="T T T"
Mo 1.642 1.642 1.461
Au 1.642 1.642 5.605
Y 0.000 0.000 3.560
Mo 0.000 0.000 0.204
```

Values from the calculation:
Density of states at the Fermi level: 1.33 states/eV/atom
Symmetry: P4mm
Magnetic moment: 0.00 μB/f.u.

=====

--- b ---
Entry from the Alexandria database: an optimized crystal structure of YMo2Au (PBE-GGA).

Cell and atoms, written as extended XYZ:
```
4
Lattice="-5.824 6.635 0.973 -7.665 4.064 1.899 -5.652 5.514 4.067" Properties=species:S:1:pos:R:3 pbc="T T T"
Mo -19.007 16.099 6.890
Au -14.226 12.050 5.157
Y -9.580 8.115 3.473
Mo -5.038 4.268 1.826
```

Values from the calculation:
Density of states at the Fermi level: 1.18 states/eV/atom
Symmetry: R3m
Magnetic moment: 0.00 μB/f.u.

=====

Most stable = a

=====

--- a ---
Entry from the Alexandria database: an optimized crystal structure of Y2MoAu (PBE-GGA).

Cell and atoms, written as extended XYZ:
```
4
Lattice="9.084 0.003 0.002 8.400 3.460 0.002 8.400 1.664 3.034" Properties=species:S:1:pos:R:3 pbc="T T T"
Y 12.836 2.543 1.506
Y 0.106 0.021 0.012
Mo 19.413 3.845 2.278
Au 6.471 1.282 0.759
```

Values from the calculation:
Density of states at the Fermi level: 1.42 states/eV/atom
Symmetry: R-3m
Magnetic moment: 0.04 μB/f.u.

=====

--- b ---
Entry from the Alexandria database: an optimized crystal structure of Y2MoAu (PBE-GGA).

Cell and atoms, written as extended XYZ:
```
8
Lattice="4.444 0.000 0.000 0.000 4.444 0.000 2.222 2.222 9.744" Properties=species:S:1:pos:R:3 pbc="T T T"
Y 3.333 3.358 7.308
Y 1.136 3.333 2.436
Au 4.444 2.222 4.872
Y 5.555 5.530 7.308
Mo 2.222 2.222 0.000
Mo 2.222 4.444 4.872
Au 0.000 0.000 0.000
Y 3.308 1.111 2.436
```

Values from the calculation:
Density of states at the Fermi level: 1.18 states/eV/atom
Symmetry: I-42d
Magnetic moment: 0.00 μB/f.u.

=====

Most stable = a

=====

--- a ---
Entry from the Alexandria database: an optimized crystal structure of Zn2MoAu (PBE-GGA).

Cell and atoms, written as extended XYZ:
```
4
Lattice="-0.596 1.162 -4.129 -2.279 -1.466 -0.083 -3.024 4.218 1.624" Properties=species:S:1:pos:R:3 pbc="T T T"
Zn -2.268 1.772 0.826
Zn -3.408 3.822 1.568
Mo -4.276 2.645 -0.909
Au -1.624 1.269 -1.680
```

Values from the calculation:
Density of states at the Fermi level: 0.57 states/eV/atom
Symmetry: P2/m
Magnetic moment: 0.00 μB/f.u.

=====

--- b ---
Entry from the Alexandria database: an optimized crystal structure of Zn2MoAu (PBE-GGA).

Cell and atoms, written as extended XYZ:
```
4
Lattice="5.372 0.096 0.498 4.663 2.668 0.498 1.634 0.450 4.704" Properties=species:S:1:pos:R:3 pbc="T T T"
Mo 2.773 0.763 0.959
Zn 8.603 2.369 3.846
Zn 10.157 2.797 1.457
Au 6.006 1.654 3.286
```

Values from the calculation:
Density of states at the Fermi level: 0.71 states/eV/atom
Symmetry: Cm
Magnetic moment: 0.00 μB/f.u.

=====

--- c ---
Entry from the Alexandria database: an optimized crystal structure of Zn2MoAu (PBE-GGA).

Cell and atoms, written as extended XYZ:
```
4
Lattice="1.998 -3.290 2.233 -1.052 -0.760 4.257 -2.293 -3.650 1.108" Properties=species:S:1:pos:R:3 pbc="T T T"
Zn -1.010 -5.775 5.698
Mo 0.000 0.000 0.000
Zn -0.337 -1.925 1.899
Au -0.673 -3.850 3.799
```

Values from the calculation:
Density of states at the Fermi level: 0.75 states/eV/atom
Symmetry: Fm-3m
Magnetic moment: 2.02 μB/f.u.

=====

Most stable = b

=====

--- a ---
Entry from the Alexandria database: an optimized crystal structure of ZnMoAu3 (PBE-GGA).

Cell and atoms, written as extended XYZ:
```
5
Lattice="-3.507 2.484 2.087 -0.052 -3.115 3.622 3.244 2.636 2.313" Properties=species:S:1:pos:R:3 pbc="T T T"
Au -0.026 -1.558 1.811
Au -1.753 1.242 1.043
Mo -0.157 1.003 4.011
Zn 0.000 0.000 0.000
Au 1.622 1.318 1.157
```

Values from the calculation:
Density of states at the Fermi level: 0.49 states/eV/atom
Symmetry: Pm-3m
Magnetic moment: 3.89 μB/f.u.

=====

--- b ---
Entry from the Alexandria database: an optimized crystal structure of ZnMoAu3 (PBE-GGA).

Cell and atoms, written as extended XYZ:
```
5
Lattice="5.075 0.000 0.000 0.000 5.075 0.000 0.000 0.000 5.075" Properties=species:S:1:pos:R:3 pbc="T T T"
Zn 2.537 2.537 2.537
Au 0.000 2.537 0.000
Au 2.537 0.000 0.000
Mo 0.000 0.000 0.000
Au 0.000 0.000 2.537
```

Values from the calculation:
Density of states at the Fermi level: 0.98 states/eV/atom
Symmetry: Pm-3m
Magnetic moment: 0.00 μB/f.u.

=====

Most stable = a

=====

--- a ---
Entry from the Alexandria database: an optimized crystal structure of ZnMo3Au (PBE-GGA).

Cell and atoms, written as extended XYZ:
```
5
Lattice="-2.079 3.494 2.656 -4.241 -0.842 -2.212 -1.131 -3.266 3.412" Properties=species:S:1:pos:R:3 pbc="T T T"
Mo -2.120 -0.421 -1.106
Zn -3.725 -0.307 1.928
Mo -1.040 1.747 1.328
Au 0.000 0.000 0.000
Mo -0.566 -1.633 1.706
```

Values from the calculation:
Density of states at the Fermi level: 0.74 states/eV/atom
Symmetry: Pm-3m
Magnetic moment: 0.00 μB/f.u.

=====

--- b ---
Entry from the Alexandria database: an optimized crystal structure of ZnMo3Au (PBE-GGA).

Cell and atoms, written as extended XYZ:
```
5
Lattice="4.537 0.000 0.000 0.000 4.537 0.000 0.000 0.000 4.537" Properties=species:S:1:pos:R:3 pbc="T T T"
Mo 0.000 0.000 2.269
Zn 0.000 0.000 0.000
Mo 0.000 2.269 0.000
Au 2.269 2.269 2.269
Mo 2.269 0.000 0.000
```

Values from the calculation:
Density of states at the Fermi level: 0.93 states/eV/atom
Symmetry: Pm-3m
Magnetic moment: 0.00 μB/f.u.

=====

Most stable = b

=====

--- a ---
Entry from the Alexandria database: an optimized crystal structure of ZnMo2Au2 (PBE-GGA).

Cell and atoms, written as extended XYZ:
```
5
Lattice="-0.100 -0.237 3.856 3.863 -0.079 0.095 2.000 6.123 2.365" Properties=species:S:1:pos:R:3 pbc="T T T"
Zn 0.000 0.000 0.000
Mo 3.861 4.877 4.273
Au 1.891 2.864 4.099
Mo 1.902 0.930 2.043
Au 3.872 2.943 2.218
```

Values from the calculation:
Density of states at the Fermi level: 0.35 states/eV/atom
Symmetry: I4/mmm
Magnetic moment: 0.00 μB/f.u.

=====

--- b ---
Entry from the Alexandria database: an optimized crystal structure of ZnMo2Au2 (PBE-GGA).

Cell and atoms, written as extended XYZ:
```
10
Lattice="-4.850 2.912 -3.758 -4.344 -4.896 1.812 -1.117 2.139 3.099" Properties=species:S:1:pos:R:3 pbc="T T T"
Au -2.894 1.139 0.660
Zn -4.597 -0.992 -0.973
Mo -6.961 -0.476 -2.181
Mo -3.532 1.217 -2.113
Mo -5.662 -3.201 0.168
Au -5.948 1.886 -0.957
Au -4.363 -1.731 2.110
Mo -2.233 -1.507 0.235
Au -7.417 -0.984 0.494
Zn 0.000 0.000 0.000
```

Values from the calculation:
Density of states at the Fermi level: 0.62 states/eV/atom
Symmetry: P4/mbm
Magnetic moment: 0.00 μB/f.u.

=====

Most stable = b

=====

--- a ---
Entry from the Alexandria database: an optimized crystal structure of ZrMoAu (PBE-GGA).

Cell and atoms, written as extended XYZ:
```
3
Lattice="-0.372 4.787 -0.759 -1.922 -3.124 -3.191 -2.346 0.036 1.377" Properties=species:S:1:pos:R:3 pbc="T T T"
Au -0.389 0.006 0.228
Zr -2.453 2.174 -0.652
Mo -1.797 -0.481 -2.150
```

Values from the calculation:
Density of states at the Fermi level: 1.64 states/eV/atom
Symmetry: P-6m2
Magnetic moment: 0.00 μB/f.u.

=====

--- b ---
Entry from the Alexandria database: an optimized crystal structure of ZrMoAu (PBE-GGA).

Cell and atoms, written as extended XYZ:
```
3
Lattice="2.896 0.000 0.000 -1.448 2.508 0.000 0.000 0.000 7.608" Properties=species:S:1:pos:R:3 pbc="T T T"
Zr 1.448 0.836 5.088
Au 0.000 0.000 0.056
Mo 0.000 1.672 2.464
```

Values from the calculation:
Density of states at the Fermi level: 1.14 states/eV/atom
Symmetry: P3m1
Magnetic moment: 0.00 μB/f.u.

=====

Most stable = a